[1]
Entry from Alexandria via LeMat-Bulk: a geometry-optimized SmMgSnBi structure (PBE).

extended XYZ file:
```
4
Lattice="5.4086 0.0000 0.0000 2.7043 4.6840 0.0000 2.7043 1.5613 4.4161" Properties=species:S:1:pos:R:3 pbc="T T T"
Mg 0.0000 0.0000 0.0000
Bi 8.1129 4.6840 3.3121
Sm 5.4086 3.1227 2.2081
Sn 2.7043 1.5613 1.1040
```

* magnetic moment: 0.0 μB/f.u.
* energy: -15.4 eV for the cell shown
* D(E_F): 4.10 states/eV/f.u.
* space group: F-43m (216)

***

[2]
Entry from Alexandria via LeMat-Bulk: a geometry-optimized SbIr2WC structure (PBE).

extended XYZ file:
```
5
Lattice="-2.5368 3.5945 1.8004 -3.4059 -3.3878 1.9648 2.5359 -0.2211 4.0147" Properties=species:S:1:pos:R:3 pbc="T T T"
Sb -1.7029 -1.6939 0.9824
C -1.7034 -0.0072 3.8899
Ir 1.2680 -0.1105 2.0073
Ir -1.2684 1.7973 0.9002
W 0.0000 0.0000 0.0000
```

* magnetic moment: 0.6 μB/f.u.
* D(E_F): 4.75 states/eV/f.u.
* space group: P4/mmm (123)
* formation energy from raw total energies: 2.652 eV/atom

***

Question: Which of these has the highest magnetic moment?
Answer: SbIr2WC

***

Question: Which value of D(E_F) does entry 2 give?
Answer: 4.75 states/eV/f.u.

***

Question: Which of these has the lowest D(E_F)?
Answer: SmMgSnBi